Ho2PuIr after structural relaxation. Source: Alexandria, functional GGA-PBE.

POSCAR file:
```
Ho2PuIr
1.0
3.717 0.000 0.000
-1.859 3.219 0.000
0.000 0.000 30.873
Ho Pu Ir
6 3 3
direct
0.000 0.000 0.112
0.000 0.000 0.888
0.333 0.667 0.554
0.333 0.667 0.779
0.667 0.333 0.221
0.667 0.333 0.446
0.000 0.000 0.000
0.333 0.667 0.667
0.667 0.333 0.333
0.000 0.000 0.500
0.333 0.667 0.167
0.667 0.333 0.833
```

offset from the most stable computed form = 31.0 kJ/mol of atoms
calculated total energy = -97.47 eV for the cell shown
calculated formation energy = -3 kJ/mol of atoms